NdGa4OsRh2 | PBE-GGA | relaxed

Computed properties:
ρ in g/cm³: 9.84
Energy of formation in eV per atom: -0.513
Magnetization in μB/f.u.: 0.0

Geometry as POSCAR:
```
NdGa4OsRh2
1.0
2.128 1.229 8.808
-2.128 1.229 8.808
0.000 -2.457 8.808
Nd Ga Os Rh
1 4 1 2
Direct
0.000 0.000 0.000
0.133 0.133 0.133
0.403 0.403 0.403
0.597 0.597 0.597
0.867 0.867 0.867
0.500 0.500 0.500
0.236 0.236 0.236
0.764 0.764 0.764
```

---

MoOs | PBE-GGA | relaxed

Computed properties:
ρ in g/cm³: 14.43
Energy of formation in eV per atom: 0.799
Magnetization in μB/f.u.: 0.0

Geometry as POSCAR:
```
MoOs
1.0
0.000 4.806 4.924
2.784 0.000 4.924
2.784 4.806 0.000
Mo Os
4 4
Direct
0.108 0.642 0.108
0.358 0.892 0.358
0.642 0.108 0.642
0.892 0.358 0.892
0.140 0.610 0.610
0.390 0.860 0.860
0.610 0.140 0.140
0.860 0.390 0.390
```

---

ScIn2Ge2 | PBE-GGA | relaxed

Computed properties:
ρ in g/cm³: 5.90
Energy of formation in eV per atom: 0.027
Magnetization in μB/f.u.: 0.0

Geometry as POSCAR:
```
ScIn2Ge2
1.0
4.074 0.000 0.000
0.000 4.074 0.000
0.000 0.000 14.243
Sc In Ge
2 4 4
Direct
0.000 0.000 0.000
0.500 0.500 0.500
0.000 0.500 0.250
0.000 0.500 0.750
0.500 0.000 0.250
0.500 0.000 0.750
0.000 0.000 0.414
0.000 0.000 0.586
0.500 0.500 0.086
0.500 0.500 0.914
```

---

RbAuCl2 | PBE-GGA | relaxed

Computed properties:
ρ in g/cm³: 4.06
Magnetization in μB/f.u.: 0.0
Total energy in eV/atom: -2.8717

Geometry as POSCAR:
```
RbAuCl2
1.0
6.344 0.000 0.000
0.000 6.344 0.000
0.000 0.000 14.357
Rb Au Cl
4 4 8
Direct
0.000 0.000 0.000
0.000 0.500 0.250
0.500 0.000 0.750
0.500 0.500 0.500
0.000 0.000 0.500
0.000 0.500 0.750
0.500 0.000 0.250
0.500 0.500 0.000
0.163 0.250 0.625
0.250 0.663 0.875
0.250 0.837 0.375
0.337 0.250 0.125
0.663 0.750 0.125
0.750 0.163 0.375
0.750 0.337 0.875
0.837 0.750 0.625
```

---

KBaNi | PBE-GGA | relaxed

Computed properties:
ρ in g/cm³: 3.20
Energy of formation in eV per atom: 0.336
Magnetization in μB/f.u.: 0.0

Geometry as POSCAR:
```
KBaNi
1.0
5.550 0.000 0.000
0.000 5.569 0.000
0.000 0.000 15.769
K Ba Ni
4 4 4
Direct
0.000 0.000 0.000
0.000 0.500 0.500
0.500 0.000 0.500
0.500 0.500 0.000
0.000 0.000 0.238
0.000 0.500 0.738
0.500 0.000 0.738
0.500 0.500 0.238
0.000 0.000 0.646
0.000 0.500 0.146
0.500 0.000 0.146
0.500 0.500 0.646
```

---

RbAl3Ga3 | PBE-GGA | relaxed

Computed properties:
ρ in g/cm³: 3.22
Energy of formation in eV per atom: 0.166
Magnetization in μB/f.u.: 0.0

Geometry as POSCAR:
```
RbAl3Ga3
1.0
7.291 0.000 0.000
0.000 7.291 0.000
0.000 0.000 7.291
Rb Al Ga
2 6 6
Direct
0.000 0.000 0.000
0.500 0.500 0.500
0.000 0.250 0.500
0.000 0.750 0.500
0.250 0.500 0.000
0.500 0.000 0.250
0.500 0.000 0.750
0.750 0.500 0.000
0.000 0.500 0.250
0.000 0.500 0.750
0.250 0.000 0.500
0.500 0.250 0.000
0.500 0.750 0.000
0.750 0.000 0.500
```

---

Na2CdHCl | PBE-GGA | relaxed

Computed properties:
ρ in g/cm³: 2.50
Magnetization in μB/f.u.: 0.0
Total energy in eV/atom: -1.9976

Geometry as POSCAR:
```
Na2CdHCl
1.0
5.866 0.000 0.000
0.000 5.866 0.000
0.000 0.000 3.768
Na Cd H Cl
2 1 1 1
Direct
0.000 0.500 0.000
0.500 0.000 0.000
0.000 0.000 0.000
0.000 0.000 0.500
0.500 0.500 0.500
```

---

AsRu2Pb | PBE-GGA | relaxed

Computed properties:
ρ in g/cm³: 8.41
Energy of formation in eV per atom: 0.633
Magnetization in μB/f.u.: 0.0

Geometry as POSCAR:
```
AsRu2Pb
1.0
5.931 0.000 0.000
0.000 5.931 0.000
0.000 0.000 10.878
As Ru Pb
4 8 4
Direct
0.000 0.000 0.000
0.000 0.500 0.250
0.500 0.000 0.750
0.500 0.500 0.500
0.202 0.250 0.125
0.250 0.702 0.375
0.250 0.798 0.875
0.298 0.250 0.625
0.702 0.750 0.625
0.750 0.202 0.875
0.750 0.298 0.375
0.798 0.750 0.125
0.000 0.000 0.500
0.000 0.500 0.750
0.500 0.000 0.250
0.500 0.500 0.000
```

---

Nb2NiTeP | PBE-GGA | relaxed

Computed properties:
ρ in g/cm³: 5.83
Magnetization in μB/f.u.: 0.0
Total energy in eV/atom: -5.5873

Geometry as POSCAR:
```
Nb2NiTeP
1.0
5.113 0.000 0.000
0.000 5.113 0.000
0.000 0.000 4.388
Nb Ni Te P
2 1 1 1
Direct
0.000 0.500 0.000
0.500 0.000 0.000
0.000 0.000 0.500
0.000 0.000 0.000
0.500 0.500 0.500
```

---

Rb2CuCl2F2 | PBE-GGA | relaxed

Computed properties:
ρ in g/cm³: 3.62
Magnetization in μB/f.u.: 1.0
Total energy in eV/atom: -3.7030

Geometry as POSCAR:
```
Rb2CuCl2F2
1.0
4.532 0.000 0.000
0.000 4.532 0.000
0.000 0.000 15.320
Rb Cu Cl F
4 2 4 4
Direct
0.000 0.000 0.123
0.000 0.000 0.877
0.500 0.500 0.377
0.500 0.500 0.623
0.000 0.000 0.500
0.500 0.500 0.000
0.000 0.000 0.350
0.000 0.000 0.650
0.500 0.500 0.150
0.500 0.500 0.850
0.000 0.500 0.000
0.000 0.500 0.500
0.500 0.000 0.000
0.500 0.000 0.500
```

---

SiPt2Au | PBE-GGA | relaxed

Computed properties:
ρ in g/cm³: 16.11
Magnetization in μB/f.u.: 0.0
Total energy in eV/atom: -5.3146

Geometry as POSCAR:
```
SiPt2Au
1.0
2.950 0.000 0.000
-1.475 2.555 0.000
0.000 0.000 25.245
Si Pt Au
3 6 3
Direct
0.000 0.000 0.000
0.333 0.667 0.667
0.667 0.333 0.333
0.000 0.000 0.264
0.000 0.000 0.505
0.333 0.667 0.172
0.333 0.667 0.931
0.667 0.333 0.597
0.667 0.333 0.839
0.000 0.000 0.746
0.333 0.667 0.413
0.667 0.333 0.079
```

---

B5C7 | PBE-GGA | relaxed

Computed properties:
ρ in g/cm³: 2.33
Energy of formation in eV per atom: 0.273
Magnetization in μB/f.u.: 0.0

Geometry as POSCAR:
```
B5C7
1.0
2.621 0.000 0.000
-1.311 2.270 0.000
0.000 0.000 16.549
B C
5 7
Direct
0.000 0.000 0.000
0.000 0.000 0.283
0.333 0.667 0.752
0.667 0.333 0.173
0.667 0.333 0.864
0.000 0.000 0.516
0.000 0.000 0.906
0.333 0.667 0.045
0.333 0.667 0.131
0.333 0.667 0.516
0.667 0.333 0.273
0.667 0.333 0.762
```